A plane-wave DFT calculation with PBE was carried out for a relaxed structure of Sm5UBi6.

Computed properties:
The value obtained for the density is 9.323 g cm⁻³. The size of the total moment comes out at 2.64 Bohr magnetons per cell. The calculation puts the formation energy at -0.74 eV per atom.

a b c (Å): 7.8827 7.8827 7.8810
angles (deg): 99.59 99.59 120.05
Last column: nearest neighbours and their distance in Å.
Fractional positions:
Sm (0.5000, 0.5000, 0.5000)  6 Bi 3.22-3.25
Sm (0.3338, 0.6662, 0.0000)  6 Bi 3.22
Sm (0.1681, 0.8319, 0.5000)  6 Bi 3.21-3.23
Sm (0.6662, 0.3338, 0.0000)  6 Bi 3.22
Sm (0.8319, 0.1681, 0.5000)  6 Bi 3.21-3.23
Bi (0.2470, 0.2470, 0.7515)  1 U 3.19, 5 Sm 3.22-3.25
Bi (0.4131, 0.0826, 0.2484)  1 U 3.19, 5 Sm 3.21-3.23
Bi (0.7530, 0.7530, 0.2485)  1 U 3.19, 5 Sm 3.22-3.25
Bi (0.9174, 0.5869, 0.7516)  1 U 3.19, 5 Sm 3.21-3.23
Bi (0.5869, 0.9174, 0.7516)  1 U 3.19, 5 Sm 3.21-3.23
Bi (0.0826, 0.4131, 0.2484)  1 U 3.19, 5 Sm 3.21-3.23
U (0.0000, 0.0000, 0.0000)  6 Bi 3.19

=====

A plane-wave DFT calculation with PBE was carried out for a relaxed structure of SmUBi2.

Computed properties:
The value obtained for the density is 11.470 g cm⁻³. The size of the total moment comes out at 3.49 Bohr magnetons per cell. The calculation puts the formation energy at -0.25 eV per atom.

a b c (Å): 3.3727 5.8833 5.8833
angles (deg): 90.00 90.00 90.00
Last column: nearest neighbours and their distance in Å.
Fractional positions:
Sm (0.5000, 0.5000, 0.5000)  2 Sm 3.37, 8 Bi 3.39
Bi (0.0000, 0.0000, 0.5000)  2 Bi 3.37, 4 Sm 3.39, 4 U 3.39
Bi (0.0000, 0.5000, 0.0000)  2 Bi 3.37, 4 Sm 3.39, 4 U 3.39
U (0.5000, 0.0000, 0.0000)  2 U 3.37, 8 Bi 3.39